VASP calculation (PBE with a Hubbard U) on a relaxed structure of Li2VO2F.

Unit cell a=7.8624 b=7.8624 c=10.3483 alpha=74.08 beta=74.08 gamma=22.19
Closest atoms and distances in Å follow each position.
Sites, in units of the cell vectors:
O (0.5018, 0.5018, 0.7525)  6 Li 1.89-1.94
V (0.7654, 0.7654, 0.6087)  4 O 1.98-2.00, 2 F 2.16
F (0.0072, 0.0072, 0.4907)  6 Li 1.99-2.15
Li (0.0806, 0.0806, 0.1305)  3 F 1.98-2.11, 1 O 2.12
Li (0.5858, 0.5858, 0.3805)  3 F 2.07-2.09, 3 O 2.14-2.25
Li (0.4188, 0.4188, 0.1222)  3 F 2.06-2.11, 3 O 2.10-2.24
Li (0.9315, 0.9315, 0.8432)  3 O 1.94-2.16
Li (0.0656, 0.0656, 0.6570)  2 O 1.92, 1 F 2.09
O (0.3369, 0.3369, 0.5044)  3 V 2.00-2.10, 1 Li 2.23
F (0.1795, 0.1795, 0.7285)  1 Li 2.09, 3 V 2.16
V (0.2502, 0.2502, 0.8817)  5 O 1.99-2.07, 1 F 2.16
O (0.1750, 0.1750, 0.2454)  3 V 2.04-2.08, 3 Li 2.12-2.25
O (0.3213, 0.3213, 0.0152)  3 V 1.99-2.04, 1 Li 2.10
F (0.9979, 0.9979, 0.0148)  5 Li 1.98-2.06
Li (0.9311, 0.9311, 0.3636)  3 F 1.99-2.04, 1 O 2.15
O (0.6864, 0.6864, 0.4869)  3 V 1.98-2.04, 1 Li 2.14
V (0.2563, 0.2563, 0.3709)  6 O 2.04-2.10
F (0.5034, 0.5034, 0.2509)  6 Li 2.04-2.11
O (0.8307, 0.8307, 0.2557)  3 V 2.06, 3 Li 2.15-2.24
Li (0.5551, 0.5551, 0.8965)  1 O 1.89, 2 F 1.99
V (0.7496, 0.7496, 0.1277)  6 O 2.04-2.09
O (0.8161, 0.8161, 0.7644)  3 V 1.98-2.03, 1 Li 2.16
O (0.6713, 0.6713, 0.9924)  3 V 2.07-2.09, 3 Li 2.27-2.28
Li (0.4412, 0.4412, 0.6158)  1 O 1.90, 2 F 2.07

* symmetry: Cm
* energy above the most stable polymorph in this dataset: 8.9 kJ/mol of atoms
* total magnetization: 0.33 μB/atom